VASP calculation (PBE) on a relaxed structure of KAg4Se2.

Values from the calculation:
V   23.5 Å³/atom
Formation energy without anion corrections   -0.244 eV per atom
DOS at the Fermi energy   0.65 states/eV per atom
Energy above the most stable polymorph in this dataset   0.063 eV per atom

Unit cell a=4.6168 b=4.6168 c=26.6891 alpha=90.00 beta=90.00 gamma=120.00
Space group R-3m (No. 166, hexagonal axes)
Unique sites:
K (0.0000, 0.0000, 0.0000) (multiplicity 3)
Ag (0.0000, 0.0000, 0.1528) (multiplicity 6)
Ag (0.0000, 0.0000, 0.4429) (multiplicity 6)
Se (0.0000, 0.0000, 0.2567) (multiplicity 6)